Record 1
# Ac2ZnNi9 | the Alexandria database | PBE | optimized geometry
data_Ac2ZnNi9
_chemical_formula_sum 'Ac6 Zn3 Ni27'
_symmetry_space_group_name_H-M 'R -3 m'
_symmetry_Int_Tables_number 166
_symmetry_space_group_name_Hall '-R 3 2"'
_cell_length_a 5.0161
_cell_length_b 5.0161
_cell_length_c 25.2779
_cell_angle_alpha 90.00
_cell_angle_beta 90.00
_cell_angle_gamma 120.00
loop_
_atom_site_label
_atom_site_type_symbol
_atom_site_fract_x
_atom_site_fract_y
_atom_site_fract_z
Ac1 Ac 0.0000 0.0000 0.1319
Zn1 Zn 0.0000 0.0000 0.0000
Ni1 Ni 0.0000 0.0000 0.3325
Ni2 Ni 0.0000 0.0000 0.5000
Ni3 Ni 0.0011 0.5006 0.0766
# **ρ**: 9.475 Mg/m³
# **Magnetic moment**: 6.4 μB per cell
# **E_tot**: -5.1665 eV per atom
# **Energy of formation**: -0.5 eV/f.u.

Record 2
# HgWSe2N | the Alexandria database | PBE | optimized geometry
data_HgWSe2N
_chemical_formula_sum 'Hg1 W1 Se2 N1'
_symmetry_space_group_name_H-M 'P 4/m m m'
_symmetry_Int_Tables_number 123
_symmetry_space_group_name_Hall '-P 4 2'
_cell_length_a 5.129
_cell_length_b 5.129
_cell_length_c 3.842
_cell_angle_alpha 90.00
_cell_angle_beta 90.00
_cell_angle_gamma 90.00
loop_
_atom_site_label
_atom_site_type_symbol
_atom_site_fract_x
_atom_site_fract_y
_atom_site_fract_z
Hg1 Hg 0.000 0.000 0.000
W1 W 0.500 0.500 0.500
Se1 Se 0.000 0.500 0.500
N1 N 0.500 0.500 0.000
# **ρ**: 9.139 Mg/m³
# **Formation energy from raw total energies**: 189 meV/atom
# **Magnetic moment**: 0.0 μB per cell
# **E above lowest polymorph**: 0.00 eV/f.u.
# **E_tot**: -5.5211 eV per atom